[1]
# CuTe6Rh2 | the Alexandria database | GGA-PBE | optimized geometry
data_CuTe6Rh2
_cell_length_a 12.0458
_cell_length_b 12.0458
_cell_length_c 5.3908
_cell_angle_alpha 90.00
_cell_angle_beta 90.00
_cell_angle_gamma 120.00
_symmetry_space_group_name_H-M 'P -3 m 1'
_symmetry_Int_Tables_number 164
_symmetry_space_group_name_Hall '-P 3 2"'
loop_
_atom_site_label
_atom_site_type_symbol
_atom_site_fract_x
_atom_site_fract_y
_atom_site_fract_z
Cu1 Cu 0.0000 0.0000 0.0000
Cu2 Cu 0.3333 0.6667 0.4882
Te1 Te 0.0924 0.5462 0.7270
Te2 Te 0.1136 0.2272 0.7477
Te3 Te 0.2132 0.4265 0.2676
Rh1 Rh 0.0000 0.3344 0.0000
# VASP energy: -119.76 eV per cell
# formation energy without anion corrections: -0.25 eV/atom
# spin magnetization: 0.00 μB/cell

***

[2]
# CuTeRh | the Alexandria database | GGA-PBE | optimized geometry
data_CuTeRh
_cell_length_a 6.0935
_cell_length_b 6.0935
_cell_length_c 6.0935
_cell_angle_alpha 90.00
_cell_angle_beta 90.00
_cell_angle_gamma 90.00
_symmetry_space_group_name_H-M 'F -4 3 m'
_symmetry_Int_Tables_number 216
_symmetry_space_group_name_Hall 'F -4 2 3'
loop_
_atom_site_label
_atom_site_type_symbol
_atom_site_fract_x
_atom_site_fract_y
_atom_site_fract_z
Cu1 Cu 0.0000 0.0000 0.0000
Te1 Te 0.0000 0.0000 0.5000
Rh1 Rh 0.2500 0.2500 0.7500
# VASP energy: -59.21 eV per cell
# relative energy among the computed polymorphs: 0.0000 eV per atom
# formation energy without anion corrections: -0.07 eV/atom
# spin magnetization: 0.00 μB/cell

***

[3]
# CuTeRh | the Alexandria database | GGA-PBE | optimized geometry
data_CuTeRh
_cell_length_a 7.2068
_cell_length_b 3.3312
_cell_length_c 8.8090
_cell_angle_alpha 90.00
_cell_angle_beta 90.00
_cell_angle_gamma 90.00
_symmetry_space_group_name_H-M 'A m m 2'
_symmetry_Int_Tables_number 38
_symmetry_space_group_name_Hall 'A 2 -2'
loop_
_atom_site_label
_atom_site_type_symbol
_atom_site_fract_x
_atom_site_fract_y
_atom_site_fract_z
Cu1 Cu 0.1741 0.0000 0.0000
Te1 Te 0.2803 0.0000 0.2789
Rh1 Rh 0.0000 0.0000 0.7093
Rh2 Rh 0.5000 0.0000 0.5923
# VASP energy: -57.42 eV per cell
# relative energy among the computed polymorphs: 0.1489 eV per atom
# formation energy without anion corrections: 0.08 eV/atom
# spin magnetization: 0.00 μB/cell

***

[4]
# CuTe2Rh | the Alexandria database | GGA-PBE | optimized geometry
data_CuTe2Rh
_cell_length_a 3.5016
_cell_length_b 3.8306
_cell_length_c 13.2350
_cell_angle_alpha 90.00
_cell_angle_beta 90.00
_cell_angle_gamma 90.00
_symmetry_space_group_name_H-M 'I m m 2'
_symmetry_Int_Tables_number 44
_symmetry_space_group_name_Hall 'I 2 -2'
loop_
_atom_site_label
_atom_site_type_symbol
_atom_site_fract_x
_atom_site_fract_y
_atom_site_fract_z
Cu1 Cu 0.0000 0.0000 0.0000
Te1 Te 0.0000 0.0000 0.5366
Te2 Te 0.0000 0.5000 0.2834
Rh1 Rh 0.0000 0.5000 0.8670
# VASP energy: -35.60 eV per cell
# formation energy without anion corrections: -0.02 eV/atom
# spin magnetization: 0.00 μB/cell

***

[5]
# CuTe4Rh | the Alexandria database | GGA-PBE | optimized geometry
data_CuTe4Rh
_cell_length_a 5.3244
_cell_length_b 4.0240
_cell_length_c 7.1763
_cell_angle_alpha 90.00
_cell_angle_beta 90.09
_cell_angle_gamma 90.00
_symmetry_space_group_name_H-M 'P 1 2/m 1'
_symmetry_Int_Tables_number 10
_symmetry_space_group_name_Hall '-P 2y'
loop_
_atom_site_label
_atom_site_type_symbol
_atom_site_fract_x
_atom_site_fract_y
_atom_site_fract_z
Cu1 Cu 0.0000 0.0000 0.0000
Te1 Te 0.2189 0.5000 0.1662
Te2 Te 0.2847 0.0000 0.6277
Rh1 Rh 0.0000 0.5000 0.5000
# VASP energy: -25.42 eV per cell
# relative energy among the computed polymorphs: 0.0000 eV per atom
# formation energy without anion corrections: -0.23 eV/atom
# spin magnetization: 0.00 μB/cell

***

[6]
# CuTe2Rh | the Alexandria database | GGA-PBE | optimized geometry
data_CuTe2Rh
_cell_length_a 5.9793
_cell_length_b 5.9793
_cell_length_c 11.6358
_cell_angle_alpha 90.00
_cell_angle_beta 90.00
_cell_angle_gamma 90.00
_symmetry_space_group_name_H-M 'I -4 2 d'
_symmetry_Int_Tables_number 122
_symmetry_space_group_name_Hall 'I -4 2bw'
loop_
_atom_site_label
_atom_site_type_symbol
_atom_site_fract_x
_atom_site_fract_y
_atom_site_fract_z
Cu1 Cu 0.0000 0.0000 0.0000
Te1 Te 0.2478 0.2500 0.6250
Rh1 Rh 0.0000 0.0000 0.5000
# VASP energy: -71.65 eV per cell
# formation energy without anion corrections: -0.05 eV/atom
# spin magnetization: 0.00 μB/cell

***

[7]
# CuTe2Rh | the Alexandria database | GGA-PBE | optimized geometry
data_CuTe2Rh
_cell_length_a 3.4750
_cell_length_b 3.4750
_cell_length_c 25.7722
_cell_angle_alpha 90.00
_cell_angle_beta 90.00
_cell_angle_gamma 120.00
_symmetry_space_group_name_H-M 'R -3 m'
_symmetry_Int_Tables_number 166
_symmetry_space_group_name_Hall '-R 3 2"'
loop_
_atom_site_label
_atom_site_type_symbol
_atom_site_fract_x
_atom_site_fract_y
_atom_site_fract_z
Cu1 Cu 0.0000 0.0000 0.0000
Te1 Te 0.0000 0.0000 0.4019
Rh1 Rh 0.0000 0.0000 0.5000
# VASP energy: -48.87 eV per cell
# formation energy without anion corrections: 0.36 eV/atom
# spin magnetization: 0.51 μB/cell

***

[8]
# CuTeRh | the Alexandria database | GGA-PBE | optimized geometry
data_CuTeRh
_cell_length_a 3.8782
_cell_length_b 3.8782
_cell_length_c 4.3045
_cell_angle_alpha 90.00
_cell_angle_beta 90.00
_cell_angle_gamma 120.00
_symmetry_space_group_name_H-M 'P 3 m 1'
_symmetry_Int_Tables_number 156
_symmetry_space_group_name_Hall 'P 3 -2"'
loop_
_atom_site_label
_atom_site_type_symbol
_atom_site_fract_x
_atom_site_fract_y
_atom_site_fract_z
Cu1 Cu 0.0000 0.0000 0.0000
Te1 Te 0.3333 0.6667 0.6224
Rh1 Rh 0.6667 0.3333 0.2990
# VASP energy: -14.15 eV per cell
# relative energy among the computed polymorphs: 0.2166 eV per atom
# formation energy without anion corrections: 0.15 eV/atom
# spin magnetization: 0.00 μB/cell

***

[9]
# CuTe2Rh | the Alexandria database | GGA-PBE | optimized geometry
data_CuTe2Rh
_cell_length_a 3.3972
_cell_length_b 3.3972
_cell_length_c 6.7732
_cell_angle_alpha 90.00
_cell_angle_beta 90.00
_cell_angle_gamma 90.00
_symmetry_space_group_name_H-M 'P 4/m m m'
_symmetry_Int_Tables_number 123
_symmetry_space_group_name_Hall '-P 4 2'
loop_
_atom_site_label
_atom_site_type_symbol
_atom_site_fract_x
_atom_site_fract_y
_atom_site_fract_z
Cu1 Cu 0.0000 0.0000 0.0000
Te1 Te 0.5000 0.5000 0.2573
Rh1 Rh 0.0000 0.0000 0.5000
# VASP energy: -17.07 eV per cell
# formation energy without anion corrections: 0.16 eV/atom
# spin magnetization: 0.00 μB/cell

***

[10]
# CuTe2Rh | the Alexandria database | GGA-PBE | optimized geometry
data_CuTe2Rh
_cell_length_a 7.4116
_cell_length_b 3.7745
_cell_length_c 6.8090
_cell_angle_alpha 90.00
_cell_angle_beta 109.63
_cell_angle_gamma 90.00
_symmetry_space_group_name_H-M 'C 1 m 1'
_symmetry_Int_Tables_number 8
_symmetry_space_group_name_Hall 'C -2y'
loop_
_atom_site_label
_atom_site_type_symbol
_atom_site_fract_x
_atom_site_fract_y
_atom_site_fract_z
Cu1 Cu 0.0000 0.0000 0.0000
Te1 Te 0.0002 0.5000 0.6130
Te2 Te 0.2449 0.5000 0.1607
Rh1 Rh 0.2434 0.0000 0.8107
# VASP energy: -36.32 eV per cell
# formation energy without anion corrections: -0.11 eV/atom
# spin magnetization: 0.00 μB/cell

***

[11]
# Cu4TeRh | the Alexandria database | GGA-PBE | optimized geometry
data_Cu4TeRh
_cell_length_a 6.9877
_cell_length_b 6.9877
_cell_length_c 6.9877
_cell_angle_alpha 90.00
_cell_angle_beta 90.00
_cell_angle_gamma 90.00
_symmetry_space_group_name_H-M 'F -4 3 m'
_symmetry_Int_Tables_number 216
_symmetry_space_group_name_Hall 'F -4 2 3'
loop_
_atom_site_label
_atom_site_type_symbol
_atom_site_fract_x
_atom_site_fract_y
_atom_site_fract_z
Cu1 Cu 0.1241 0.1241 0.3759
Te1 Te 0.0000 0.0000 0.0000
Rh1 Rh 0.2500 0.2500 0.7500
# VASP energy: -104.72 eV per cell
# formation energy without anion corrections: 0.12 eV/atom
# spin magnetization: 0.00 μB/cell

***

[12]
# CuTe2Rh | the Alexandria database | GGA-PBE | optimized geometry
data_CuTe2Rh
_cell_length_a 3.9675
_cell_length_b 3.9675
_cell_length_c 10.1412
_cell_angle_alpha 90.00
_cell_angle_beta 90.00
_cell_angle_gamma 90.00
_symmetry_space_group_name_H-M 'I -4 m 2'
_symmetry_Int_Tables_number 119
_symmetry_space_group_name_Hall 'I -4 -2'
loop_
_atom_site_label
_atom_site_type_symbol
_atom_site_fract_x
_atom_site_fract_y
_atom_site_fract_z
Cu1 Cu 0.0000 0.0000 0.0000
Te1 Te 0.0000 0.0000 0.5000
Te2 Te 0.0000 0.5000 0.2500
Rh1 Rh 0.0000 0.5000 0.7500
# VASP energy: -33.22 eV per cell
# formation energy without anion corrections: 0.28 eV/atom
# spin magnetization: 0.00 μB/cell

***

[13]
# CuTe2Rh | the Alexandria database | GGA-PBE | optimized geometry
data_CuTe2Rh
_cell_length_a 3.3263
_cell_length_b 3.5561
_cell_length_c 7.3826
_cell_angle_alpha 90.00
_cell_angle_beta 90.00
_cell_angle_gamma 90.00
_symmetry_space_group_name_H-M 'P m m 2'
_symmetry_Int_Tables_number 25
_symmetry_space_group_name_Hall 'P 2 -2'
loop_
_atom_site_label
_atom_site_type_symbol
_atom_site_fract_x
_atom_site_fract_y
_atom_site_fract_z
Cu1 Cu 0.0000 0.0000 0.0000
Te1 Te 0.0000 0.0000 0.6383
Te2 Te 0.5000 0.5000 0.1776
Rh1 Rh 0.5000 0.5000 0.8098
# VASP energy: -18.10 eV per cell
# formation energy without anion corrections: -0.09 eV/atom
# spin magnetization: 0.00 μB/cell

***

[14]
# CuTe2Rh | the Alexandria database | GGA-PBE | optimized geometry
data_CuTe2Rh
_cell_length_a 6.7021
_cell_length_b 3.8727
_cell_length_c 6.8152
_cell_angle_alpha 90.00
_cell_angle_beta 109.40
_cell_angle_gamma 90.00
_symmetry_space_group_name_H-M 'C 1 2/m 1'
_symmetry_Int_Tables_number 12
_symmetry_space_group_name_Hall '-C 2y'
loop_
_atom_site_label
_atom_site_type_symbol
_atom_site_fract_x
_atom_site_fract_y
_atom_site_fract_z
Cu1 Cu 0.0000 0.0000 0.0000
Te1 Te 0.2474 0.0000 0.7380
Rh1 Rh 0.0000 0.5000 0.5000
# VASP energy: -36.33 eV per cell
# formation energy without anion corrections: -0.11 eV/atom
# spin magnetization: 0.00 μB/cell